Entry from the Alexandria database: an optimized crystal structure of TbSc2Te4 (PBE).

```
14
Lattice="15.9473 0.0000 0.0000 0.0000 4.1970 0.0000 -3.2874 0.0000 6.5031" Properties=species:S:1:pos:R:3 pbc="T T T"
Tb 0.0000 0.0000 0.0000
Tb 7.9737 2.0985 0.0000
Sc 1.5523 2.0985 4.7334
Sc 3.1340 0.0000 1.7697
Sc 9.5259 0.0000 4.7334
Sc 11.1076 2.0985 1.7697
Te 0.4827 0.0000 3.0258
Te -1.0222 2.0985 6.2882
Te 5.7085 0.0000 0.2149
Te 4.2035 2.0985 3.4774
Te 8.4564 2.0985 3.0258
Te 6.9514 0.0000 6.2882
Te 13.6821 2.0985 0.2149
Te 12.1772 0.0000 3.4774
```

Results
raw formation energy	-1.284	eV per atom
Fermi-level density of states	0.5227	states/eV/atom
final energy	-5.55	eV/atom
volume	217.6	Å³/f.u.

Entry from the Alexandria database: an optimized crystal structure of PPdN2 (PBE).

```
8
Lattice="7.0545 0.0000 0.0000 0.0000 2.7405 0.0000 -0.4794 0.0000 4.8097" Properties=species:S:1:pos:R:3 pbc="T T T"
P 0.0000 0.0000 0.0000
P 3.5272 1.3703 0.0000
Pd 2.5161 0.0000 2.9552
Pd 6.0433 1.3703 2.9552
N 0.9701 1.3703 0.6018
N 2.2281 1.3703 1.1393
N 4.4973 0.0000 0.6018
N 5.7553 0.0000 1.1393
```

Results
raw formation energy	0.364	eV per atom
Fermi-level density of states	0.3077	states/eV/atom
final energy	-6.45	eV/atom
volume	46.5	Å³/f.u.

Entry from the Alexandria database: an optimized crystal structure of Tm6Ge3H (PBE).

```
20
Lattice="5.4769 -6.8474 0.0000 5.4769 6.8474 0.0000 0.0000 0.0000 6.5937" Properties=species:S:1:pos:R:3 pbc="T T T"
Tm 5.4769 6.1479 3.2969
Tm 3.6623 3.1548 3.5636
Tm 5.4769 3.7114 0.3325
Tm 3.6571 0.4141 0.3271
Tm 3.6571 -0.4141 3.6239
Tm 7.2915 3.1548 3.5636
Tm 3.6623 -3.1548 0.2667
Tm 7.2968 0.4141 0.3271
Tm 7.2968 -0.4141 3.6239
Tm 5.4769 -3.7114 3.6293
Tm 7.2915 -3.1548 0.2667
Tm 5.4769 -6.1479 0.0000
Ge 1.8292 1.4886 2.1631
Ge 1.8292 -1.4886 5.4599
Ge 5.4769 1.4995 5.0083
Ge 5.4769 -1.4995 1.7115
Ge 9.1246 1.4886 2.1631
Ge 9.1246 -1.4886 5.4599
H 5.4769 4.0421 2.6227
H 5.4769 -4.0421 5.9195
```

Results
Fermi-level density of states	0.9913	states/eV/atom
final energy	-4.92	eV/atom
volume	247.3	Å³/f.u.

Entry from the Alexandria database: an optimized crystal structure of BeV3Rh (PBE).

```
5
Lattice="4.0693 0.0000 0.0000 0.0000 4.0693 0.0000 0.0000 0.0000 4.0693" Properties=species:S:1:pos:R:3 pbc="T T T"
Be 0.0000 0.0000 0.0000
V 0.0000 0.0000 2.0346
V 0.0000 2.0346 0.0000
V 2.0346 0.0000 0.0000
Rh 2.0346 2.0346 2.0346
```

Results
energy of formation	0.530	eV per atom
Fermi-level density of states	1.7002	states/eV/atom
final energy	-7.16	eV/atom
volume	67.4	Å³/f.u.

Entry from the Alexandria database: an optimized crystal structure of MgH16I2O16 (PBE).

```
70
Lattice="10.7567 0.0000 0.0000 0.0000 5.5550 0.0000 -4.7445 0.0000 11.2070" Properties=species:S:1:pos:R:3 pbc="T T T"
Mg 0.0000 0.0000 0.0000
Mg -2.3722 2.7775 5.6035
H -0.5246 0.8006 2.5800
H -2.8969 1.9769 8.1835
H -0.4587 3.6866 3.8240
H -2.8309 4.6458 9.4275
H 1.1011 3.0798 0.8668
H -1.2711 5.2526 6.4703
H -0.2040 1.2768 5.3053
H -2.5763 1.5007 10.9088
H -0.6989 4.0091 7.2787
H 1.6734 4.3234 1.6752
H 2.1491 0.9912 1.2126
H -0.2232 1.7863 6.8162
H 2.0870 3.3092 4.3302
H -0.2852 5.0233 9.9337
H 2.0145 3.5155 7.5365
H 4.3867 4.8170 1.9330
H 1.6255 0.7380 9.2740
H 3.9977 2.0395 3.6705
H 6.2975 0.5317 1.2733
H 3.9252 2.2458 6.8768
H 6.2354 3.7687 4.3909
H 3.8631 4.5638 9.9944
H 4.3388 1.2316 9.5319
H 6.7111 1.5459 3.9283
H 8.5885 4.0543 0.2982
H 6.2163 4.2782 5.9017
H 7.2833 0.3023 4.7367
H 4.9111 2.4751 10.3402
H 8.8432 0.9091 1.7796
H 6.4709 1.8683 7.3831
H 8.9091 3.5780 3.0235
H 6.5368 4.7544 8.6271
I 2.2954 0.2147 4.2124
I -0.0769 2.5628 9.8159
I 6.0891 2.9922 1.3911
I 3.7168 5.3402 6.9947
O -1.3836 3.3653 3.8671
O -3.7558 4.9672 9.4707
O 0.9264 4.0256 1.0988
O -1.4458 4.3068 6.7023
O 1.5634 1.3358 0.4913
O -0.8088 1.4416 6.0948
O 0.6783 0.9920 3.9453
O -1.6939 1.7855 9.5488
O 1.4127 4.0553 4.4035
O -0.9595 4.2771 10.0070
O 0.4887 2.9467 8.1079
O 2.8610 5.3858 2.5044
O 2.0545 0.5316 6.2101
O 4.4267 2.2458 0.6066
O 0.7467 0.7877 9.7637
O 3.1190 1.9898 4.1602
O 2.8932 3.5651 7.0469
O 5.2655 4.7673 1.4433
O 1.5855 3.3091 10.6004
O 3.9577 5.0233 4.9969
O 3.1512 0.1692 8.7027
O 5.5235 2.6083 3.0991
O 6.9717 1.2779 1.2000
O 4.5995 1.4996 6.8035
O 7.7061 3.7695 1.6582
O 5.3339 4.5629 7.2617
O 6.8210 4.1133 5.1122
O 4.4488 4.2191 10.7157
O 7.4580 1.2481 4.5048
O 5.0858 1.5293 10.1083
O 9.7680 0.5878 1.7364
O 7.3958 2.1897 7.3399
```

Results
Fermi-level density of states	0.0000	states/eV/atom
final energy	-4.85	eV/atom
volume	334.8	Å³/f.u.

Entry from the Alexandria database: an optimized crystal structure of Rb2TlTcO4 (PBE).

```
16
Lattice="6.4898 0.0000 0.0000 0.0000 6.4898 0.0000 0.0000 0.0000 8.3311" Properties=species:S:1:pos:R:3 pbc="T T T"
Rb 0.0000 0.0000 0.0000
Rb 0.0000 3.2449 2.0828
Rb 3.2449 0.0000 6.2483
Rb 3.2449 3.2449 4.1656
Tl 0.0000 0.0000 4.1656
Tl 3.2449 3.2449 0.0000
Tc 0.0000 3.2449 6.2483
Tc 3.2449 0.0000 2.0828
O 1.1685 4.5089 5.6070
O 1.2640 2.0765 6.8897
O 1.9809 1.1685 2.7241
O 2.0765 5.2258 1.4414
O 4.4134 1.2640 1.4414
O 4.5089 5.3214 2.7241
O 5.2258 4.4134 6.8897
O 5.3214 1.9809 5.6070
```

Results
raw formation energy	-1.311	eV per atom
Fermi-level density of states	0.0034	states/eV/atom
final energy	-5.62	eV/atom
volume	175.4	Å³/f.u.

Entry from the Alexandria database: an optimized crystal structure of Ca2ScPb (PBE).

```
8
Lattice="4.8731 0.0000 0.0000 0.0000 4.8731 0.0000 0.0000 0.0000 9.9787" Properties=species:S:1:pos:R:3 pbc="T T T"
Ca 0.0000 0.0000 0.0000
Ca 0.0000 2.4366 2.4947
Ca 2.4366 0.0000 7.4840
Ca 2.4366 2.4366 4.9894
Sc 0.0000 0.0000 4.9894
Sc 2.4366 2.4366 0.0000
Pb 0.0000 2.4366 7.4840
Pb 2.4366 0.0000 2.4947
```

Results
energy of formation	-0.143	eV per atom
Fermi-level density of states	1.0184	states/eV/atom
final energy	-3.65	eV/atom
volume	118.5	Å³/f.u.

Entry from the Alexandria database: an optimized crystal structure of PmPrNdN3 (PBE).

```
12
Lattice="6.2636 0.0000 0.0000 0.0000 3.5462 0.0000 -1.4374 0.0000 9.4002" Properties=species:S:1:pos:R:3 pbc="T T T"
Pm 0.8906 0.8865 1.2317
Pm 3.9355 2.6596 8.1684
Pr 0.8094 0.8865 7.3791
Pr 4.0167 2.6596 2.0211
Nd 0.8286 2.6596 4.2212
Nd 3.9976 0.8865 5.1790
N -0.7544 2.6596 6.1526
N 0.0265 2.6596 9.2426
N 2.4709 0.8865 3.0978
N 2.3553 2.6596 6.3023
N 4.7996 0.8865 0.1576
N 5.5806 0.8865 3.2475
```

Results
raw formation energy	-1.196	eV per atom
final energy	-7.74	eV/atom
volume	104.4	Å³/f.u.